Entry 1:
## Al2TcPt (PBEsol)

Data for a relaxed structure of Al2TcPt.

The structure in POSCAR format:
```
Al2TcPt
1.0
-1.9750 0.5471 -2.1329
1.1381 -2.4154 -1.6734
-3.8819 -3.6676 2.6539
Tc Pt Al
1 1 2
Cartesian
-2.3594 -2.7680 -0.5762
-0.4184 -0.9342 -1.9031
-2.8690 -2.7106 1.9614
-1.0130 -0.9570 0.6925
```

Summary:
Its calculated formation energy is -0.6738 eV/atom. As for the space group: Pmmm.

***

Entry 2:
## La2ZnPt (PBEsol)

Data for a relaxed structure of La2ZnPt.

The structure in POSCAR format:
```
La2ZnPt
1.0
-0.1099 2.5794 -2.6289
0.7058 -2.5661 -2.5473
-7.0035 -1.1206 -0.8066
La Pt Zn
2 1 1
Cartesian
-5.1688 -0.8272 -0.5955
-1.1289 -2.8595 -2.7584
-3.2038 -0.5537 -2.9914
0.2979 0.0066 -2.5881
```

Summary:
Its calculated formation energy is -0.6365 eV/atom. As for the space group: P4/mmm.

***

Entry 3:
## KYMg2Ni (PBEsol)

Data for a relaxed structure of KYMg2Ni.

The structure in POSCAR format:
```
KYMg2Ni
1.0
4.9785 0.0000 0.0000
0.0000 5.1614 0.0000
0.0000 0.0000 5.1614
K Mg Y Ni
1 2 1 1
Cartesian
2.4893 2.5807 2.5807
0.0000 0.0000 2.5807
0.0000 2.5807 0.0000
2.4893 0.0000 0.0000
0.0000 0.0000 0.0000
```

Summary:
Its calculated formation energy is 0.0626 eV/atom. As for the space group: P4/mmm.